# NiCl2O6 PBE+U relaxed
# VASP energy = -3.92 eV/atom
# DOS at the Fermi energy = 3.47 states/eV/cell
# polymorph energy (0 for the lowest one) = 169 meV/atom
data_NiCl2O6
_chemical_formula_sum 'Ni2 Cl4 O12'
_symmetry_space_group_name_H-M 'C 1 2/m 1'
_symmetry_Int_Tables_number 12
_cell_length_a 10.953
_cell_length_b 5.055
_cell_length_c 6.122
_cell_angle_alpha 90.00
_cell_angle_beta 122.80
_cell_angle_gamma 90.00
loop_
_symmetry_equiv_pos_as_xyz
'x,y,z'
'-x,-y,-z'
'-x,y,-z'
'x,-y,z'
'x+1/2,y+1/2,z'
'-x+1/2,-y+1/2,-z'
'-x+1/2,y+1/2,-z'
'x+1/2,-y+1/2,z'
loop_
_atom_site_label
_atom_site_fract_x
_atom_site_fract_y
_atom_site_fract_z
Ni1 0.000 0.000 0.000
Cl1 0.232 0.000 0.010
O1 0.067 0.277 0.302
O2 0.094 0.500 0.220